Here is crystalline Ca2TlTcN at its relaxed geometry from Alexandria via LeMat-Bulk. Energies are from GGA-PBE.

Structure (POSCAR):
```
Ca2TlTcN
1.0
5.0778 0.0000 0.0000
0.0000 5.0778 0.0000
0.0000 0.0000 3.9282
Tl Ca Tc N
1 2 1 1
direct
0.5000 0.5000 0.5000
0.0000 0.5000 0.0000
0.5000 0.0000 0.0000
0.0000 0.0000 0.5000
0.0000 0.0000 0.0000
```

Calculated values
The calculation puts the mass density at 6.50 g/cm³. Its volume is 20.26 Å³/atom. For the total energy, the calculation gives -5.42 eV/atom.